1.
Entry from the Alexandria database: a geometry-optimized BaSr2Sc structure (PBE).

## Properties
Excess energy over the best structure of this formula in the dataset (meV per atom): 0
Energy of formation (eV/atom): 0.273
Total moment (μB per formula unit): 1.1
Density of states at the Fermi level (states/eV per cell): 19.62
SG: R-3m (166)

```
12
Lattice="4.040 0.000 0.000 -2.020 3.499 0.000 0.000 0.000 39.059" Properties=species:S:1:pos:R:3 pbc="T T T"
Ba 0.000 0.000 0.000
Ba 0.000 2.333 26.039
Ba 2.020 1.166 13.020
Sr 0.000 0.000 9.349
Sr 0.000 0.000 29.710
Sr 0.000 2.333 16.690
Sr 0.000 2.333 35.388
Sr 2.020 1.166 3.671
Sr 2.020 1.166 22.369
Sc 0.000 0.000 19.530
Sc 0.000 2.333 6.510
Sc 2.020 1.166 32.549
```

2.
Entry from the Alexandria database: a geometry-optimized TbCo4Mo structure (PBE).

## Properties
Energy of formation (eV/atom): 0.089
Total moment (μB per formula unit): 1.1
Density of states at the Fermi level (states/eV per cell): 9.07
SG: F-43m (216)

```
6
Lattice="0.000 3.436 3.436 3.436 0.000 3.436 3.436 3.436 0.000" Properties=species:S:1:pos:R:3 pbc="T T T"
Tb 0.000 0.000 0.000
Co 4.297 2.575 2.575
Co 2.575 4.297 2.575
Co 2.575 2.575 4.297
Co 4.297 4.297 4.297
Mo 1.718 1.718 1.718
```

3.
Entry from the Alexandria database: a geometry-optimized ScMo2RhAu structure (PBE).

## Properties
Energy of formation (eV/atom): 1.574
Total moment (μB per formula unit): 0.4
Density of states at the Fermi level (states/eV per cell): 7.96
SG: P4/mmm (123)

```
5
Lattice="4.625 0.000 0.000 0.000 4.625 0.000 0.000 0.000 4.550" Properties=species:S:1:pos:R:3 pbc="T T T"
Sc 0.000 0.000 0.000
Mo 0.000 2.313 0.000
Mo 2.313 0.000 0.000
Rh 0.000 0.000 2.275
Au 2.313 2.313 2.275
```

4.
Entry from the Alexandria database: a geometry-optimized La2Cl structure (PBE).

## Properties
Excess energy over the best structure of this formula in the dataset (meV per atom): 87
Total moment (μB per formula unit): 0.0
Density of states at the Fermi level (states/eV per cell): 4.40
Formation energy from raw total energies (eV per atom): -0.918
SG: P-3m1 (164)

```
3
Lattice="4.271 0.000 0.000 -2.135 3.699 0.000 0.000 0.000 6.293" Properties=species:S:1:pos:R:3 pbc="T T T"
La 0.000 2.466 1.569
La 2.135 1.233 4.724
Cl 0.000 0.000 3.147
```

5.
Entry from the Alexandria database: a geometry-optimized Ce3DyEr2P6 structure (PBE).

## Properties
Energy of formation (eV/atom): -1.557
Total moment (μB per formula unit): 1.5
Density of states at the Fermi level (states/eV per cell): 13.45
SG: C2/m (12)

```
12
Lattice="3.496 -6.056 0.000 3.496 6.056 0.000 -2.331 0.000 6.572" Properties=species:S:1:pos:R:3 pbc="T T T"
Ce 0.000 0.000 0.000
Ce 3.496 2.015 0.000
Ce 3.496 -2.015 0.000
Dy 2.330 0.000 3.286
Er 2.330 4.036 3.286
Er 2.330 -4.036 3.286
P 1.160 2.027 1.674
P -0.010 0.000 4.895
P 1.160 -2.027 1.674
P 3.500 2.027 4.897
P 4.671 0.000 1.676
P 3.500 -2.027 4.897
```

6.
Entry from the Alexandria database: a geometry-optimized FeAuC structure (PBE).

## Properties
Excess energy over the best structure of this formula in the dataset (meV per atom): 32
Energy of formation (eV/atom): 0.622
Total moment (μB per formula unit): 0.0
Density of states at the Fermi level (states/eV per cell): 1.47
SG: Pm (6)

```
3
Lattice="2.691 0.000 0.000 0.000 2.661 0.000 -1.337 0.000 5.077" Properties=species:S:1:pos:R:3 pbc="T T T"
Fe 0.000 0.000 0.000
Au 0.007 1.331 2.454
C 0.008 1.331 4.631
```

7.
Entry from the Alexandria database: a geometry-optimized Nd7GeBr12 structure (PBE).

## Properties
Total moment (μB per formula unit): 0.0
Density of states at the Fermi level (states/eV per cell): 10.01
Formation energy from raw total energies (eV per atom): -1.659
SG: R-3 (148)

```
20
Lattice="7.662 4.424 3.401 -7.662 4.424 3.401 0.000 -8.847 3.401" Properties=species:S:1:pos:R:3 pbc="T T T"
Nd 0.000 0.000 0.000
Nd -2.242 -0.626 3.487
Nd 1.663 -1.629 3.487
Nd 0.579 2.255 3.487
Nd -0.579 -2.255 6.716
Nd -1.663 1.629 6.716
Nd 2.242 0.626 6.716
Ge 0.000 0.000 5.102
Br -0.624 -2.397 1.630
Br -1.764 1.738 1.630
Br -2.969 -3.042 5.091
Br -4.119 1.050 5.112
Br 2.387 0.658 1.630
Br 1.150 -4.093 5.112
Br -1.150 4.093 5.091
Br -2.387 -0.658 8.573
Br 4.119 -1.050 5.091
Br 2.969 3.042 5.112
Br 1.764 -1.738 8.573
Br 0.624 2.396 8.573
```

8.
Entry from the Alexandria database: a geometry-optimized Sr8Ni2Pd structure (PBE).

## Properties
Energy of formation (eV/atom): 0.041
Total moment (μB per formula unit): 0.0
Density of states at the Fermi level (states/eV per cell): 7.26
SG: P-1 (2)

```
11
Lattice="6.454 0.000 0.000 0.000 9.285 0.000 0.001 4.641 8.049" Properties=species:S:1:pos:R:3 pbc="T T T"
Sr 1.575 4.642 2.685
Sr 1.637 6.864 6.757
Sr 1.637 11.694 6.769
Sr 1.637 9.292 2.573
Sr 4.819 4.634 5.476
Sr 4.818 2.231 1.280
Sr 4.818 7.061 1.292
Sr 4.881 9.283 5.364
Ni 1.688 9.283 5.364
Ni 4.768 4.642 2.685
Pd 3.227 0.000 0.000
```

9.
Entry from the Alexandria database: a geometry-optimized KCaAgF6 structure (PBE).

## Properties
Total moment (μB per formula unit): 2.0
Formation energy from raw total energies (eV per atom): -2.385
SG: P312 (149)

```
9
Lattice="5.915 0.000 0.000 -2.957 5.122 0.000 0.000 0.000 5.514" Properties=species:S:1:pos:R:3 pbc="T T T"
K 0.000 0.000 0.000
Ca 0.000 3.415 2.757
Ag 2.957 1.707 2.757
F 2.166 0.099 3.907
F 1.169 1.826 1.607
F 3.749 0.099 1.607
F 1.960 3.197 3.907
F 4.746 1.826 3.907
F 3.954 3.197 1.607
```

10.
Entry from the Alexandria database: a geometry-optimized TiZn2N structure (PBE).

## Properties
Total moment (μB per formula unit): 0.0
Density of states at the Fermi level (states/eV per cell): 7.44
Formation energy from raw total energies (eV per atom): -0.068
SG: I-42d (122)

```
16
Lattice="7.215 0.000 0.000 0.000 7.215 0.000 0.000 0.000 4.158" Properties=species:S:1:pos:R:3 pbc="T T T"
Ti 0.000 0.000 0.000
Ti 0.000 3.607 1.039
Ti 3.607 0.000 3.118
Ti 3.607 3.607 2.079
Zn 1.201 5.411 2.598
Zn 1.804 1.201 1.559
Zn 1.804 2.407 3.638
Zn 2.407 5.411 0.520
Zn 4.808 1.804 0.520
Zn 5.411 4.808 3.638
Zn 5.411 6.014 1.559
Zn 6.014 1.804 2.598
N 0.000 0.000 2.079
N 0.000 3.607 3.118
N 3.607 0.000 1.039
N 3.607 3.607 0.000
```

11.
Entry from the Alexandria database: a geometry-optimized Cs4KTl4 structure (PBE).

## Properties
Energy of formation (eV/atom): -0.053
Total moment (μB per formula unit): 0.0
Density of states at the Fermi level (states/eV per cell): 18.59
SG: P4_2/n (86)

```
18
Lattice="12.819 0.000 0.000 0.000 12.819 0.000 0.000 0.000 6.670" Properties=species:S:1:pos:R:3 pbc="T T T"
Cs 0.872 11.275 1.446
Cs 1.545 7.282 4.781
Cs 4.865 11.948 4.781
Cs 5.538 7.954 1.446
Cs 7.282 4.865 5.225
Cs 7.954 0.872 1.890
Cs 11.275 5.538 1.890
Cs 11.948 1.545 5.225
K 3.205 3.205 5.003
K 9.615 9.615 1.668
Tl 1.193 2.602 2.004
Tl 2.602 5.216 1.331
Tl 3.808 1.193 1.331
Tl 5.216 3.808 2.004
Tl 7.603 9.012 4.666
Tl 9.012 11.626 5.340
Tl 10.218 7.603 5.340
Tl 11.626 10.218 4.666
```

12.
Entry from the Alexandria database: a geometry-optimized TiP2O6 structure (PBE).

## Properties
Total moment (μB per formula unit): 0.0
Density of states at the Fermi level (states/eV per cell): 0.00
Formation energy from raw total energies (eV per atom): -2.193
SG: R3 (146)

```
9
Lattice="2.575 1.486 5.764 -2.575 1.486 5.764 0.000 -2.973 5.764" Properties=species:S:1:pos:R:3 pbc="T T T"
Ti 0.000 0.000 0.000
P 0.000 0.000 4.736
P 0.000 0.000 6.796
O -1.448 0.459 4.434
O 0.326 -1.484 4.434
O -0.310 -1.485 7.104
O -1.131 1.011 7.104
O 1.122 1.025 4.434
O 1.441 0.474 7.104
```